First-principles (PBE with a Hubbard U) data for an optimized crystal structure of Y2PtWF, as listed in Alexandria via LeMat-Bulk.

For the energy, the calculation gives -6.063 eV per atom. The calculation puts the density of states at the Fermi level at 3.752 states/eV per cell.

The space group is P4/mmm (No. 123) and the conventional cell measures 4.465, 4.465 and 5.185 Å, with angles of 90.00, 90.00 and 90.00 degrees. The asymmetric unit holds Y at (0.000, 0.500, 0.000), Pt at (0.000, 0.000, 0.500), W at (0.500, 0.500, 0.500) and F at (0.000, 0.000, 0.000).